Record 1
Below is crystalline Pr3ErHg at its relaxed geometry, with properties calculated at the PBE level.

a b c (Å): 19.7295 3.7685 8.8333
angles (deg): 90.00 103.51 90.00
With the nearest neighbours (Å) after each atom.
Space group C2/m (No. 12)
Asymmetric unit:
Pr (0.0045, 0.0000, 0.2916) [4 per cell]  4 Hg 3.28-3.52, 3 Pr 3.49-3.63
Pr (0.0971, 0.5000, 0.0342) [4 per cell]  3 Er 3.61-3.80, 9 Pr 3.63-3.77, 1 Hg 3.96
Pr (0.1866, 0.0000, 0.3777) [4 per cell]  2 Hg 3.29, 5 Pr 3.46-3.66, 2 Er 3.66
Er (0.2054, 0.0000, 0.8327) [4 per cell]  2 Hg 3.12
Hg (0.1097, 0.5000, 0.5930) [4 per cell]  2 Er 3.12, 4 Pr 3.28-3.29

Properties
Relative energy among the computed polymorphs (kcal/mol of atoms): 0.000
Energy of formation (eV/atom): -0.17
E (Ry/atom): -0.2948

Record 2
Below is crystalline PrErHg6 at its relaxed geometry, with properties calculated at the PBE level.

a b c (Å): 5.0414 6.7914 11.5880
angles (deg): 90.00 90.00 90.00
With the nearest neighbours (Å) after each atom.
Space group Amm2 (No. 38)
Asymmetric unit:
Pr (0.0000, 0.0000, 0.0000) [2 per cell]  12 Hg 3.22-3.40
Er (0.5000, 0.0000, 0.6787) [2 per cell]  12 Hg 3.17-3.40
Hg (0.0000, 0.0000, 0.5115) [2 per cell]  8 Hg 3.17-3.44, 2 Er 3.18, 2 Pr 3.40
Hg (0.0000, 0.2474, 0.2528) [4 per cell]  8 Hg 3.16-3.44, 2 Er 3.17, 2 Pr 3.34-3.38
Hg (0.5000, 0.0000, 0.1746) [2 per cell]  8 Hg 3.16-3.44, 2 Pr 3.23, 2 Er 3.40
Hg (0.5000, 0.2366, 0.4215) [4 per cell]  7 Hg 3.17-3.44, 2 Pr 3.22, 2 Er 3.33-3.39

Properties
Relative energy among the computed polymorphs (kcal/mol of atoms): 0.000
Energy of formation (eV/atom): -0.35
E (Ry/atom): -0.1282

Record 3
Below is crystalline Pr4ErHg5 at its relaxed geometry, with properties calculated at the PBE level.

a b c (Å): 3.8115 3.8115 19.3397
angles (deg): 90.00 90.00 90.00
With the nearest neighbours (Å) after each atom.
Space group P4/mmm (No. 123)
Asymmetric unit:
Pr (0.0000, 0.0000, 0.1019) [2 per cell]  8 Hg 3.33-3.34
Pr (0.0000, 0.0000, 0.3056) [2 per cell]  8 Hg 3.35-3.38
Er (0.0000, 0.0000, 0.5000) [1 per cell]  8 Hg 3.19
Hg (0.5000, 0.5000, 0.0000) [1 per cell]  8 Pr 3.34
Hg (0.5000, 0.5000, 0.2029) [2 per cell]  8 Pr 3.33-3.35
Hg (0.5000, 0.5000, 0.4114) [2 per cell]  4 Er 3.19, 4 Pr 3.38, 1 Hg 3.43

Properties
Energy of formation (eV/atom): -0.47
E (Ry/atom): -0.2197

Record 4
Below is crystalline Pr4ErHg4 at its relaxed geometry, with properties calculated at the PBE level.

a b c (Å): 9.6187 9.6187 5.8093
angles (deg): 90.00 90.00 90.00
With the nearest neighbours (Å) after each atom.
Space group P4_2/n (No. 86, origin choice 2)
Asymmetric unit:
Pr (0.0896, 0.8369, 0.1374) [8 per cell]  4 Hg 3.19-3.30, 1 Er 3.43, 1 Pr 3.51
Er (0.2500, 0.2500, 0.7500) [2 per cell]  4 Hg 3.07, 4 Pr 3.43
Hg (0.0542, 0.1488, 0.3675) [8 per cell]  1 Er 3.07, 4 Pr 3.19-3.30, 3 Hg 3.29-3.41

Properties
Energy of formation (eV/atom): -0.26
E (Ry/atom): -0.2226

Record 5
Below is crystalline Pr4Er5Hg at its relaxed geometry, with properties calculated at the PBE level.

a b c (Å): 3.6263 3.6263 24.1042
angles (deg): 90.00 90.00 90.00
With the nearest neighbours (Å) after each atom.
Space group P4/mmm (No. 123)
Asymmetric unit:
Pr (0.0000, 0.0000, 0.1048) [2 per cell]  8 Er 3.60-3.61, 4 Pr 3.63
Pr (0.0000, 0.0000, 0.3149) [2 per cell]  8 Er 3.60-3.61, 4 Pr 3.63
Er (0.5000, 0.5000, 0.0000) [1 per cell]  8 Pr 3.60, 4 Er 3.63
Er (0.5000, 0.5000, 0.2102) [2 per cell]  8 Pr 3.60-3.61, 4 Er 3.63
Er (0.5000, 0.5000, 0.4202) [2 per cell]  4 Hg 3.21
Hg (0.0000, 0.0000, 0.5000) [1 per cell]  8 Er 3.21

Properties
Energy of formation (eV/atom): -0.08
E (Ry/atom): -0.3164

Record 6
Below is crystalline Pr2Er6Hg at its relaxed geometry, with properties calculated at the PBE level.

a b c (Å): 9.7155 10.2460 5.4741
angles (deg): 90.00 90.00 90.00
With the nearest neighbours (Å) after each atom.
Space group Pnnm (No. 58)
Asymmetric unit:
Pr (0.1901, 0.2489, 0.0000) [4 per cell]  10 Er 3.26-3.64
Er (0.0175, 0.3199, 0.5000) [4 per cell]  3 Pr 3.26-3.29, 1 Hg 3.28, 3 Er 3.44-3.52
Er (0.1384, 0.8974, 0.0000) [4 per cell]  2 Hg 3.23, 3 Er 3.34-3.44, 3 Pr 3.53-3.55
Er (0.1819, 0.5743, 0.0000) [4 per cell]  1 Hg 3.18, 3 Pr 3.33-3.50, 3 Er 3.34-3.52
Hg (0.0000, 0.0000, 0.5000) [2 per cell]  8 Er 3.18-3.28

Properties
Energy of formation (eV/atom): -0.01
E (Ry/atom): -0.3049

Record 7
Below is crystalline Pr12Er3Hg5 at its relaxed geometry, with properties calculated at the PBE level.

a b c (Å): 18.6538 18.6538 18.6538
angles (deg): 90.00 90.00 90.00
With the nearest neighbours (Å) after each atom.
Space group Ia-3d (No. 230)
Asymmetric unit:
Pr (0.0208, 0.0735, 0.6465) [96 per cell]  2 Hg 3.06-3.08, 1 Er 3.34
Er (0.0000, 0.2500, 0.1250) [24 per cell]  8 Pr 3.34-3.61
Hg (0.0000, 0.0000, 0.0000) [16 per cell]  6 Pr 3.08
Hg (0.0000, 0.2500, 0.3750) [24 per cell]  4 Pr 3.06

Properties
Energy of formation (eV/atom): 0.35
E (Ry/atom): -0.2411

Record 8
Below is crystalline PrEr4Hg5 at its relaxed geometry, with properties calculated at the PBE level.

a b c (Å): 3.7122 3.7122 18.7630
angles (deg): 90.00 90.00 90.00
With the nearest neighbours (Å) after each atom.
Space group P4/mmm (No. 123)
Asymmetric unit:
Pr (0.0000, 0.0000, 0.0000) [1 per cell]  8 Hg 3.37, 4 Pr 3.71
Er (0.0000, 0.0000, 0.2066) [2 per cell]  8 Hg 3.16-3.20
Er (0.0000, 0.0000, 0.4025) [2 per cell]  8 Hg 3.20-3.21
Hg (0.5000, 0.5000, 0.1130) [2 per cell]  4 Er 3.16, 4 Pr 3.37
Hg (0.5000, 0.5000, 0.3045) [2 per cell]  8 Er 3.20-3.21
Hg (0.5000, 0.5000, 0.5000) [1 per cell]  8 Er 3.20

Properties
Energy of formation (eV/atom): -0.48
E (Ry/atom): -0.2155

Record 9
Below is crystalline PrErHg2 at its relaxed geometry, with properties calculated at the PBE level.

a b c (Å): 3.7250 3.7250 7.7627
angles (deg): 90.00 90.00 90.00
With the nearest neighbours (Å) after each atom.
Space group P4/mmm (No. 123)
Asymmetric unit:
Pr (0.0000, 0.0000, 0.0000) [1 per cell]  8 Hg 3.38, 4 Pr 3.72
Er (0.0000, 0.0000, 0.5000) [1 per cell]  8 Hg 3.17
Hg (0.5000, 0.5000, 0.2737) [2 per cell]  4 Er 3.17, 4 Pr 3.38, 1 Hg 3.51

Properties
Relative energy among the computed polymorphs (kcal/mol of atoms): 0.000
Energy of formation (eV/atom): -0.48
E (Ry/atom): -0.2179

Record 10
Below is crystalline Pr2Er2Hg7 at its relaxed geometry, with properties calculated at the PBE level.

a b c (Å): 7.3089 11.4658 7.8353
angles (deg): 90.00 90.00 90.00
With the nearest neighbours (Å) after each atom.
Space group Cmmm (No. 65)
Asymmetric unit:
Pr (0.2430, 0.0000, 0.0000) [4 per cell]  6 Hg 3.10-3.24
Er (0.0000, 0.2646, 0.5000) [4 per cell]  7 Hg 3.03-3.06
Hg (0.0000, 0.0000, 0.5000) [2 per cell]  2 Er 3.03
Hg (0.0000, 0.5000, 0.3149) [4 per cell]  1 Hg 2.90, 2 Er 3.06, 2 Pr 3.10
Hg (0.2500, 0.2500, 0.1915) [8 per cell]  1 Hg 3.00, 2 Er 3.03, 2 Pr 3.24

Properties
Energy of formation (eV/atom): -0.15
E (Ry/atom): -0.1502

Record 11
Below is crystalline Pr12Er3Hg at its relaxed geometry, with properties calculated at the PBE level.

a b c (Å): 5.1115 5.1115 20.7206
angles (deg): 90.00 90.00 90.00
With the nearest neighbours (Å) after each atom.
Space group P4/mmm (No. 123)
Asymmetric unit:
Pr (0.0000, 0.0000, 0.0000) [1 per cell]  8 Pr 3.59, 4 Hg 3.61
Pr (0.0000, 0.0000, 0.2461) [2 per cell]  4 Er 3.61, 8 Pr 3.64-3.67
Pr (0.0000, 0.0000, 0.5000) [1 per cell]  4 Er 3.61, 8 Pr 3.66
Pr (0.0000, 0.5000, 0.1214) [4 per cell]  2 Hg 3.59, 8 Pr 3.59-3.64, 2 Er 3.66
Pr (0.0000, 0.5000, 0.3736) [4 per cell]  8 Pr 3.61-3.67, 4 Er 3.65-3.66
Er (0.5000, 0.5000, 0.2476) [2 per cell]  12 Pr 3.61-3.66
Er (0.5000, 0.5000, 0.5000) [1 per cell]  12 Pr 3.61-3.66
Hg (0.5000, 0.5000, 0.0000) [1 per cell]  12 Pr 3.59-3.61

Properties
Energy of formation (eV/atom): -0.03
E (Ry/atom): -0.3297

Record 12
Below is crystalline PrErHg at its relaxed geometry, with properties calculated at the PBE level.

a b c (Å): 3.6887 3.6887 12.9062
angles (deg): 90.00 90.00 90.00
With the nearest neighbours (Å) after each atom.
Space group I4mm (No. 107)
Asymmetric unit:
Pr (0.0000, 0.0000, 0.0000) [2 per cell]  4 Hg 3.42, 4 Er 3.61, 4 Pr 3.69
Er (0.0000, 0.0000, 0.3067) [2 per cell]  4 Hg 3.14
Hg (0.0000, 0.0000, 0.6711) [2 per cell]  4 Er 3.14, 4 Pr 3.42

Properties
Relative energy among the computed polymorphs (kcal/mol of atoms): 0.211
Energy of formation (eV/atom): -0.30
E (Ry/atom): -0.2586